[1]
First-principles (PBE-GGA) data for an optimized crystal structure of BeAuI2N, as listed in the Alexandria database.

## Properties
magnetization: 0.1 Bohr magnetons per cell
energy relative to the lowest polymorph listed for this composition: 0.810 eV per atom
formation energy without anion corrections: 1.29 eV/atom
uncorrected energy: -0.17626 Ry per atom

Cell: 5.9338 5.9338 3.8072 Å, 90.00 90.00 90.00°
Each line ends with the local moment (μB).
Positions (direct):
Au1 0.0000 0.0000 0.0000  0.01
I1 0.5000 0.0000 0.0000  0.01
I2 0.0000 0.5000 0.0000  0.01
Be1 0.5000 0.5000 0.5000  0.00
N1 0.0000 0.0000 0.5000  0.06

=====

[2]
First-principles (PBE-GGA) data for an optimized crystal structure of Ti2ReTc2, as listed in the Alexandria database.

## Properties
magnetization: 0.0 Bohr magnetons per cell
energy relative to the lowest polymorph listed for this composition: 0.190 eV per atom
energy of formation: 0.129 eV per atom
uncorrected energy: -0.71038 Ry per atom

Cell: 7.0757 7.0757 3.1108 Å, 90.00 90.00 90.00°
Positions (direct):
Re1 0.0000 0.0000 0.0000
Re2 0.5000 0.5000 0.0000
Ti1 0.3392 0.1608 0.5000
Ti2 0.8392 0.3392 0.5000
Ti3 0.1608 0.6608 0.5000
Ti4 0.6608 0.8392 0.5000
Tc1 0.3567 0.8567 0.0000
Tc2 0.1433 0.3567 0.0000
Tc3 0.8567 0.6433 0.0000
Tc4 0.6433 0.1433 0.0000

=====

[3]
First-principles (PBE-GGA) data for an optimized crystal structure of CoMoPd2C, as listed in the Alexandria database.

## Properties
magnetization: 2.3 Bohr magnetons per cell
energy of formation: 1.629 eV per atom
uncorrected energy: -0.43219 Ry per atom

Cell: 4.8920 3.8533 4.8920 Å, 90.00 90.00 90.00°
Each line ends with the local moment (μB).
Positions (direct):
Co1 0.5000 0.5000 0.5000  2.17
Pd1 0.0000 0.0000 0.5000  -0.01
Pd2 0.5000 0.0000 0.0000  0.00
C1 0.0000 0.5000 0.0000  0.01
Mo1 0.0000 0.0000 0.0000  0.08